CsAlPb | PBE-GGA | optimized geometry

Lattice parameters (Å, degrees): 6.4779 7.9361 9.5848 106.93 102.66 94.96
Closest atoms and distances in Å follow each position.
Fractional positions:
Cs1 0.1227 0.4430 0.2224  4 Al 3.61-3.96, 3 Pb 3.72-3.88
Cs2 0.2517 0.2112 0.5876  2 Al 3.79-3.87, 3 Pb 3.87-4.07, 2 Cs 4.11-4.14
Cs3 0.7483 0.7888 0.4124  2 Al 3.79-3.87, 3 Pb 3.87-4.07, 2 Cs 4.11-4.14
Cs4 0.8773 0.5570 0.7776  4 Al 3.61-3.96, 3 Pb 3.72-3.88
Al1 0.2040 0.0477 0.9236  1 Al 2.68, 3 Pb 2.89-2.98
Al2 0.4894 0.6678 0.9942  2 Al 2.68-2.71, 2 Pb 2.94-2.97
Al3 0.5106 0.3322 0.0058  2 Al 2.68-2.71, 2 Pb 2.94-2.97
Al4 0.7960 0.9523 0.0764  1 Al 2.68, 3 Pb 2.89-2.98
Pb1 0.2504 0.9035 0.1731  3 Al 2.91-2.98, 1 Pb 3.13
Pb2 0.3685 0.7792 0.7213  2 Al 2.89-2.97, 1 Pb 3.13
Pb3 0.6315 0.2208 0.2787  2 Al 2.89-2.97, 1 Pb 3.13
Pb4 0.7496 0.0965 0.8269  3 Al 2.91-2.98, 1 Pb 3.13

Summary:
**Symmetry**: No. 2

Sc2BeHg | PBE-GGA | optimized geometry

Lattice parameters (Å, degrees): 3.4445 3.4445 6.5532 90.00 90.00 90.00
Closest atoms and distances in Å follow each position.
Fractional positions:
Sc1 0.0000 0.0000 0.0000  4 Hg 2.99, 4 Sc 3.10, 1 Be 3.19
Sc2 0.5000 0.5000 0.2937  4 Be 2.83, 1 Hg 2.90, 4 Sc 3.10
Be1 0.0000 0.0000 0.5137  4 Sc 2.83, 4 Hg 2.84
Hg1 0.5000 0.5000 0.7361  4 Be 2.84, 5 Sc 2.90-2.99

Summary:
**Energy above the lowest structure with this stoichiometry**: 0.2673 eV/atom
**Symmetry**: No. 99

Number 1: electronic total energy -33.62 eV/cell, total magnetic moment 0.000 μB per formula unit. Number 2: electronic total energy -16.57 eV/cell, total magnetic moment 0.906 μB per formula unit.